The following is a DFT calculation (PBE) of a relaxed PbAu crystal.

Summary:
**Fermi-level density of states**: 6.7 states/eV/cell

a = 10.7301 Å, b = 10.7301 Å, c = 3.7016 Å
α = 90.00°, β = 90.00°, γ = 90.00°
Last column: nearest neighbours and their distance in Å.
Element x y z (fractional)
Pb: 0.6840 0.3733 0.5000  3 Au 2.93-3.03
Pb: 0.3160 0.6267 0.5000  3 Au 2.93-3.03
Pb: 0.6267 0.6840 0.5000  3 Au 2.93-3.03
Pb: 0.1289 0.1822 0.0000  3 Au 2.93-3.03
Pb: 0.8178 0.1289 0.0000  3 Au 2.93-3.03
Pb: 0.3733 0.3160 0.5000  3 Au 2.93-3.03
Pb: 0.1822 0.8711 0.0000  3 Au 2.93-3.03
Pb: 0.8711 0.8178 0.0000  3 Au 2.93-3.03
Au: 0.1012 0.3916 0.5000  5 Au 2.90-3.18, 3 Pb 2.93-3.03
Au: 0.1064 0.5995 0.0000  5 Au 2.90-3.13, 3 Pb 2.93-3.03
Au: 0.8988 0.6085 0.5000  5 Au 2.90-3.18, 3 Pb 2.93-3.03
Au: 0.3916 0.8988 0.5000  5 Au 2.90-3.18, 3 Pb 2.93-3.03
Au: 0.4005 0.1064 0.0000  5 Au 2.90-3.13, 3 Pb 2.93-3.03
Au: 0.6085 0.1012 0.5000  5 Au 2.90-3.18, 3 Pb 2.93-3.03
Au: 0.5995 0.8936 0.0000  5 Au 2.90-3.13, 3 Pb 2.93-3.03
Au: 0.8936 0.4005 0.0000  5 Au 2.90-3.13, 3 Pb 2.93-3.03

***

The following is a DFT calculation (PBE) of a relaxed Li7MgCd2 crystal.

Summary:
**Fermi-level density of states**: 3.8 states/eV/cell

a = 2.8802 Å, b = 9.4601 Å, c = 9.4601 Å
α = 117.44°, β = 90.00°, γ = 90.00°
Last column: nearest neighbours and their distance in Å.
Element x y z (fractional)
Li: 0.5000 0.6666 0.8573  1 Cd 2.86, 6 Li 2.88-3.08, 2 Mg 3.15
Li: 0.5000 0.1427 0.3334  1 Cd 2.86, 6 Li 2.88-3.08, 2 Mg 3.15
Li: 0.0000 0.1792 0.8208  2 Cd 2.79, 6 Li 2.88-3.06, 1 Mg 2.90
Li: 0.0000 0.8208 0.1792  2 Cd 2.79, 6 Li 2.88-3.06, 1 Mg 2.90
Li: 0.5000 0.3334 0.1427  1 Cd 2.86, 6 Li 2.88-3.08, 2 Mg 3.15
Li: 0.5000 0.5000 0.5000  2 Cd 2.80, 6 Li 2.88-3.00
Li: 0.5000 0.8573 0.6666  1 Cd 2.86, 6 Li 2.88-3.08, 2 Mg 3.15
Cd: 0.5000 0.3271 0.6729  5 Li 2.79-2.86, 2 Cd 2.88
Cd: 0.5000 0.6729 0.3271  5 Li 2.79-2.86, 2 Cd 2.88
Mg: 0.0000 0.0000 0.0000  2 Mg 2.88, 10 Li 2.90-3.15

***

The following is a DFT calculation (PBE) of a relaxed CsSnAu4 crystal.

Summary:
**Fermi-level density of states**: 2.4 states/eV/cell

a = 7.1113 Å, b = 6.6126 Å, c = 7.5754 Å
α = 115.88°, β = 84.27°, γ = 90.00°
Last column: nearest neighbours and their distance in Å.
Element x y z (fractional)
Au: 0.0000 0.7832 0.0000  3 Au 2.87-2.88, 2 Sn 2.87
Au: 0.6127 0.3004 0.1783  1 Sn 2.75, 5 Au 2.77-3.06
Au: 0.6127 0.8779 0.1783  1 Sn 2.75, 5 Au 2.77-3.06
Au: 0.0000 0.2168 0.0000  3 Au 2.87-2.88, 2 Sn 2.87
Au: 0.3923 0.7350 0.4701  1 Sn 2.72, 2 Au 2.77
Au: 0.6077 0.2650 0.5299  1 Sn 2.72, 2 Au 2.77
Au: 0.3873 0.6996 0.8217  1 Sn 2.75, 5 Au 2.77-3.06
Au: 0.3873 0.1221 0.8217  1 Sn 2.75, 5 Au 2.77-3.06
Sn: 0.7216 0.4487 0.8975  5 Au 2.72-2.87
Sn: 0.2784 0.5513 0.1025  5 Au 2.72-2.87
Cs: 0.1397 0.2244 0.4488  8 Au 3.43-3.77
Cs: 0.8603 0.7756 0.5512  8 Au 3.43-3.77

***

| no. | formation enthalpy at 0 K (meV/atom) |
| --- | --- |
| 1 | -13 |
| 2 | 54 |
| 3 | -180 |